No. 1
VASP calculation (PBE) on a geometry-optimized BeIn2Pd structure.

Cell lengths 4.227, 4.227, 17.940 Å; angles 90.00, 90.00, 90.00 degrees
Space group I-42d (No. 122)
One atom of each set of equivalent atoms:
Be: 0.000 0.000 0.000 x4
In: 0.240 0.250 0.125 x8
Pd: 0.000 0.000 0.500 x4

Calculated values
V = 320.6 Å³/cell
Crystal system = tetragonal
Energy of formation from the pure elements = 235 meV/atom

***

No. 2
VASP calculation (PBE) on a geometry-optimized NaPrPb2 structure.

Cell lengths 4.998, 4.998, 4.670 Å; angles 90.00, 90.00, 90.00 degrees
Space group P4/mmm (No. 123)
One atom of each set of equivalent atoms:
Na: 0.000 0.000 0.000 x1
Pr: 0.500 0.500 0.000 x1
Pb: 0.000 0.500 0.500 x2

Calculated values
V = 116.7 Å³/cell
Crystal system = tetragonal
Energy of formation from the pure elements = -392 meV/atom